1.
VASP calculation (GGA-PBE) on crystalline Sc2CrOs at its relaxed geometry.

Values from the calculation:
**Calculated formation energy**: -0.072 eV per atom
**Calculated total energy**: -33.80 eV per cell
**Distance to the lowest polymorph of the same formula**: 28 kJ/mol of formula units

abc: 3.307 3.281 7.283
angles: 63.22 90.00 90.00
Atoms (fractional coordinates):
Sc (0.000, 0.484, 0.516)
Sc (0.000, 0.016, 0.984)
Cr (0.500, 0.250, 0.250)
Os (0.500, 0.750, 0.750)

2.
VASP calculation (GGA-PBE) on crystalline ScRh3 at its relaxed geometry.

Values from the calculation:
**Calculated formation energy**: -0.515 eV per atom
**Calculated total energy**: -30.44 eV per cell

abc: 5.231 5.231 5.231
angles: 148.10 125.54 64.51
Atoms (fractional coordinates):
Rh (0.498, 0.496, 0.002)
Rh (0.005, 0.004, 0.002)
Rh (0.077, 0.750, 0.327)
Sc (0.586, 0.250, 0.336)

3.
VASP calculation (GGA-PBE) on crystalline PRuW2 at its relaxed geometry.

Values from the calculation:
**Calculated formation energy**: 0.325 eV per atom
**Calculated total energy**: -39.29 eV per cell

abc: 4.362 4.362 4.362
angles: 60.00 60.00 60.00
Atoms (fractional coordinates):
P (0.500, 0.500, 0.500)
W (0.000, 0.000, 0.000)
W (0.750, 0.750, 0.750)
Ru (0.250, 0.250, 0.250)

4.
VASP calculation (GGA-PBE) on crystalline La2Pr3Nd at its relaxed geometry.

Values from the calculation:
**Calculated formation energy**: 0.009 eV per atom
**Calculated total energy**: -57.81 eV per cell
**Distance to the lowest polymorph of the same formula**: 0 kJ/mol of formula units

abc: 9.100 7.435 7.435
angles: 120.00 90.00 90.00
Atoms (fractional coordinates):
Nd (0.666, 0.333, 0.667)
Nd (0.334, 0.667, 0.333)
Pr (0.665, 0.833, 0.167)
Pr (0.665, 0.334, 0.167)
Pr (0.665, 0.833, 0.666)
Pr (0.335, 0.167, 0.334)
Pr (0.335, 0.666, 0.833)
Pr (0.335, 0.167, 0.833)
La (0.000, 0.500, 0.000)
La (0.000, 0.000, 0.000)
La (0.000, 0.000, 0.500)
La (0.000, 0.500, 0.500)

5.
VASP calculation (GGA-PBE) on crystalline Zn7CdAg4 at its relaxed geometry.

Values from the calculation:
**Calculated formation energy**: 0.028 eV per atom
**Calculated total energy**: -20.90 eV per cell
**Distance to the lowest polymorph of the same formula**: 0 kJ/mol of formula units

abc: 2.863 9.261 8.855
angles: 116.06 90.00 98.89
Atoms (fractional coordinates):
Zn (0.733, 0.467, 0.389)
Zn (0.074, 0.148, 0.781)
Zn (0.543, 0.085, 0.511)
Zn (0.631, 0.262, 0.069)
Zn (0.246, 0.491, 0.640)
Zn (0.358, 0.715, 0.961)
Zn (0.932, 0.865, 0.244)
Ag (0.294, 0.588, 0.205)
Ag (0.715, 0.430, 0.870)
Ag (0.980, 0.960, 0.949)
Ag (0.093, 0.185, 0.307)
Cd (0.901, 0.803, 0.573)

6.
VASP calculation (GGA-PBE) on crystalline Sr2NiAgGe at its relaxed geometry.

Values from the calculation:
**Calculated formation energy**: -0.244 eV per atom
**Calculated total energy**: -17.83 eV per cell

abc: 5.763 5.763 4.409
angles: 90.00 90.00 90.00
Atoms (fractional coordinates):
Sr (0.500, 0.000, 0.000)
Sr (0.000, 0.500, 0.000)
Ge (0.000, 0.000, 0.500)
Ag (0.500, 0.500, 0.500)
Ni (0.000, 0.000, 0.000)

7.
VASP calculation (GGA-PBE) on crystalline HgTePt at its relaxed geometry.

Values from the calculation:
**Calculated total energy**: -9.27 eV per cell
**Distance to the lowest polymorph of the same formula**: 82 kJ/mol of formula units
**Formation energy (no corrections)**: 0.21 eV per formula unit

abc: 7.622 7.622 7.622
angles: 153.03 153.03 38.51
Atoms (fractional coordinates):
Pt (0.283, 0.283, 0.000)
Te (0.721, 0.721, 0.000)
Hg (0.996, 0.996, 0.000)

8.
VASP calculation (GGA-PBE) on crystalline La2TaReGe at its relaxed geometry.

Values from the calculation:
**Calculated formation energy**: 1.270 eV per atom
**Calculated total energy**: -32.42 eV per cell

abc: 5.524 4.939 5.524
angles: 90.00 90.00 90.00
Atoms (fractional coordinates):
Re (0.500, 0.500, 0.500)
La (0.500, 0.000, 0.000)
La (0.000, 0.000, 0.500)
Ta (0.000, 0.000, 0.000)
Ge (0.000, 0.500, 0.000)

no.,calculated volume (A^3/atom)
1,17.64
2,15.22
3,14.68
4,36.30
5,17.32
6,29.29
7,30.31
8,30.14